Entry 1:
VASP calculation (PBE) on a geometry-optimized In7HgBi4 structure.

Calculated values
**Energy relative to the elements**: 0.673 eV/f.u.
**DOS(E_F)**: 0.532 states/eV/atom
**Uncorrected energy**: -2.860 eV/atom

abc: 4.4767 4.4767 21.4718
angles: 90.00 90.00 120.00
Space group P-3m1 (No. 164)
One atom of each set of equivalent atoms:
In (0.0000, 0.0000, 0.0000) x1
In (0.0000, 0.0000, 0.2544) x2
In (0.3333, 0.6667, 0.1682) x2
In (0.3333, 0.6667, 0.4197) x2
Hg (0.0000, 0.0000, 0.5000) x1
Bi (0.3333, 0.6667, 0.6623) x2
Bi (0.3333, 0.6667, 0.9132) x2

Entry 2:
VASP calculation (PBE) on a geometry-optimized Cd4Ag2Au3 structure.

Calculated values
**Energy relative to the elements**: -1.112 eV/f.u.
**DOS(E_F)**: 0.258 states/eV/atom
**Uncorrected energy**: -2.256 eV/atom
**Energy relative to the lowest polymorph listed for this composition**: 0.005 eV/atom

abc: 12.882 4.209 6.736
angles: 90.00 108.26 90.00
Space group C2/m (No. 12)
One atom of each set of equivalent atoms:
Cd (0.045, 0.000, 0.320) x4
Cd (0.222, 0.500, 0.323) x4
Ag (0.168, 0.000, 0.003) x4
Au (0.000, 0.500, 0.000) x2
Au (0.116, 0.500, 0.661) x4

Entry 3:
VASP calculation (PBE) on a geometry-optimized Sc2ReTcO structure.

Calculated values
**DOS(E_F)**: 0.842 states/eV/atom
**Uncorrected energy**: -7.744 eV/atom
**Energy relative to the lowest polymorph listed for this composition**: 0.000 eV/atom
**Formation energy from raw total energies**: 0.34 eV/atom

abc: 5.220 5.220 3.703
angles: 90.00 90.00 90.00
Space group P4/mmm (No. 123)
One atom of each set of equivalent atoms:
Sc (0.000, 0.500, 0.000) x2
Re (0.000, 0.000, 0.000) x1
Tc (0.500, 0.500, 0.500) x1
O (0.000, 0.000, 0.500) x1

Entry 4:
VASP calculation (PBE) on a geometry-optimized W2BrCl structure.

Calculated values
**DOS(E_F)**: 0.858 states/eV/atom
**Uncorrected energy**: -6.277 eV/atom
**Energy relative to the lowest polymorph listed for this composition**: 1.150 eV/atom
**Formation energy from raw total energies**: 1.08 eV/atom

abc: 2.9881 2.9881 25.8466
angles: 90.00 90.00 120.00
Space group R-3m (No. 166, hexagonal axes)
One atom of each set of equivalent atoms:
W (0.0000, 0.0000, 0.2486) x6
Br (0.0000, 0.0000, 0.0000) x3
Cl (0.0000, 0.0000, 0.5000) x3

Entry 5:
VASP calculation (PBE) on a geometry-optimized Sr2TlSb structure.

Calculated values
**DOS(E_F)**: 0.515 states/eV/atom
**Uncorrected energy**: -2.743 eV/atom
**Energy relative to the lowest polymorph listed for this composition**: 0.401 eV/atom
**Formation energy from raw total energies**: -0.28 eV/atom

abc: 8.236 8.236 8.236
angles: 90.00 90.00 90.00
Space group F-43m (No. 216)
One atom of each set of equivalent atoms:
Sr (0.000, 0.000, 0.000) x4
Sr (0.250, 0.250, 0.250) x4
Tl (0.250, 0.250, 0.750) x4
Sb (0.000, 0.000, 0.500) x4

Entry 6:
VASP calculation (PBE) on a geometry-optimized LiScSi2S6 structure.

Calculated values
**DOS(E_F)**: 0.000 states/eV/atom
**Uncorrected energy**: -5.405 eV/atom
**Formation energy from raw total energies**: -1.02 eV/atom

abc: 12.071 11.121 6.281
angles: 90.00 103.71 90.00
Space group C2/c (No. 15)
One atom of each set of equivalent atoms:
Li (0.000, 0.224, 0.250) x4
Sc (0.000, 0.387, 0.750) x4
Si (0.202, 0.083, 0.786) x8
S (0.115, 0.418, 0.148) x8
S (0.134, 0.243, 0.629) x8
S (0.137, 0.069, 0.078) x8

Entry 7:
VASP calculation (PBE) on a geometry-optimized La4Tl2CdAu structure.

Calculated values
**Energy relative to the elements**: -3.878 eV/f.u.
**DOS(E_F)**: 1.116 states/eV/atom
**Uncorrected energy**: -4.064 eV/atom

abc: 5.5593 5.5593 27.0920
angles: 90.00 90.00 120.00
Space group R-3m (No. 166, hexagonal axes)
One atom of each set of equivalent atoms:
La (0.0000, 0.0000, 0.1180) x6
La (0.0000, 0.0000, 0.3680) x6
Tl (0.0000, 0.0000, 0.2429) x6
Cd (0.0000, 0.0000, 0.5000) x3
Au (0.0000, 0.0000, 0.0000) x3

Entry 8:
VASP calculation (PBE) on a geometry-optimized Y2WBr structure.

Calculated values
**DOS(E_F)**: 1.059 states/eV/atom
**Uncorrected energy**: -6.479 eV/atom
**Energy relative to the lowest polymorph listed for this composition**: 0.599 eV/atom
**Formation energy from raw total energies**: 0.41 eV/atom

abc: 3.220 3.220 10.665
angles: 90.00 90.00 90.00
Space group P4mm (No. 99)
One atom of each set of equivalent atoms:
Y (0.000, 0.000, 0.000) x1
Y (0.500, 0.500, 0.291) x1
W (0.500, 0.500, 0.806) x1
Br (0.000, 0.000, 0.464) x1

Entry 9:
VASP calculation (PBE) on a geometry-optimized Zr3BiS structure.

Calculated values
**DOS(E_F)**: 1.178 states/eV/atom
**Uncorrected energy**: -7.188 eV/atom
**Energy relative to the lowest polymorph listed for this composition**: 0.252 eV/atom
**Formation energy from raw total energies**: -0.46 eV/atom

abc: 4.879 4.879 4.879
angles: 90.00 90.00 90.00
Space group Pm-3m (No. 221)
One atom of each set of equivalent atoms:
Zr (0.000, 0.000, 0.500) x3
Bi (0.500, 0.500, 0.500) x1
S (0.000, 0.000, 0.000) x1

Entry 10:
VASP calculation (PBE) on a geometry-optimized La14PrMg structure.

Calculated values
**Energy relative to the elements**: -0.164 eV/f.u.
**DOS(E_F)**: 1.321 states/eV/atom
**Uncorrected energy**: -4.720 eV/atom

abc: 7.374 7.374 10.531
angles: 90.00 90.00 90.00
Space group P4/mmm (No. 123)
One atom of each set of equivalent atoms:
La (0.000, 0.000, 0.000) x1
La (0.000, 0.500, 0.000) x2
La (0.000, 0.500, 0.500) x2
La (0.246, 0.246, 0.253) x8
La (0.500, 0.500, 0.000) x1
Pr (0.500, 0.500, 0.500) x1
Mg (0.000, 0.000, 0.500) x1

Entry 11:
VASP calculation (PBE) on a geometry-optimized BeReSe2Br structure.

Calculated values
**DOS(E_F)**: 0.386 states/eV/atom
**Uncorrected energy**: -3.958 eV/atom
**Energy relative to the lowest polymorph listed for this composition**: 0.157 eV/atom
**Formation energy from raw total energies**: 1.00 eV/atom

abc: 4.772 4.772 4.402
angles: 90.00 90.00 90.00
Space group P4/mmm (No. 123)
One atom of each set of equivalent atoms:
Be (0.000, 0.000, 0.000) x1
Re (0.500, 0.500, 0.500) x1
Se (0.000, 0.500, 0.000) x2
Br (0.000, 0.000, 0.500) x1

Entry 12:
VASP calculation (PBE) on a geometry-optimized LaTc2Pt structure.

Calculated values
**Energy relative to the elements**: 1.025 eV/f.u.
**DOS(E_F)**: 1.218 states/eV/atom
**Uncorrected energy**: -7.669 eV/atom
**Energy relative to the lowest polymorph listed for this composition**: 0.385 eV/atom

abc: 2.8904 2.8904 29.5281
angles: 90.00 90.00 120.00
Space group R3m (No. 160, hexagonal axes)
One atom of each set of equivalent atoms:
La (0.0000, 0.0000, 0.0000) x3
Tc (0.0000, 0.0000, 0.2381) x3
Tc (0.0000, 0.0000, 0.5030) x3
Pt (0.0000, 0.0000, 0.7589) x3

Entry 13:
VASP calculation (PBE) on a geometry-optimized AcBiI structure.

Calculated values
**DOS(E_F)**: 1.942 states/eV/atom
**Uncorrected energy**: -3.860 eV/atom
**Energy relative to the lowest polymorph listed for this composition**: 0.222 eV/atom
**Formation energy from raw total energies**: -0.68 eV/atom

abc: 8.049 8.049 8.049
angles: 90.00 90.00 90.00
Space group F-43m (No. 216)
One atom of each set of equivalent atoms:
Ac (0.000, 0.000, 0.000) x4
Bi (0.250, 0.250, 0.750) x4
I (0.250, 0.250, 0.250) x4

Entry 14:
VASP calculation (PBE) on a geometry-optimized DyEr5 structure.

Calculated values
**Energy relative to the elements**: 0.132 eV/f.u.
**DOS(E_F)**: 1.290 states/eV/atom
**Uncorrected energy**: -4.547 eV/atom

abc: 4.954 14.880 4.950
angles: 90.00 90.00 90.00
Space group Cmmm (No. 65)
One atom of each set of equivalent atoms:
Dy (0.000, 0.000, 0.000) x2
Er (0.000, 0.167, 0.500) x4
Er (0.000, 0.333, 0.000) x4
Er (0.000, 0.500, 0.500) x2

Entry 15:
VASP calculation (PBE) on a geometry-optimized Ca4ErPd5 structure.

Calculated values
**Energy relative to the elements**: -7.422 eV/f.u.
**DOS(E_F)**: 0.259 states/eV/atom
**Uncorrected energy**: -4.596 eV/atom

abc: 3.521 3.521 17.632
angles: 90.00 90.00 90.00
Space group P4/mmm (No. 123)
One atom of each set of equivalent atoms:
Ca (0.000, 0.000, 0.100) x2
Ca (0.000, 0.000, 0.299) x2
Er (0.000, 0.000, 0.500) x1
Pd (0.500, 0.500, 0.000) x1
Pd (0.500, 0.500, 0.200) x2
Pd (0.500, 0.500, 0.410) x2

Entry 16:
VASP calculation (PBE) on a geometry-optimized Ba2CuPt2 structure.

Calculated values
**Energy relative to the elements**: -1.699 eV/f.u.
**DOS(E_F)**: 0.666 states/eV/atom
**Uncorrected energy**: -4.345 eV/atom

abc: 7.727 7.727 4.549
angles: 90.00 90.00 90.00
Space group P4/mbm (No. 127)
One atom of each set of equivalent atoms:
Ba (0.175, 0.325, 0.000) x4
Cu (0.000, 0.000, 0.500) x2
Pt (0.129, 0.629, 0.500) x4

Entry 17:
VASP calculation (PBE) on a geometry-optimized TaBeCu structure.

Calculated values
**Energy relative to the elements**: -0.001 eV/f.u.
**DOS(E_F)**: 0.719 states/eV/atom
**Uncorrected energy**: -6.559 eV/atom
**Energy relative to the lowest polymorph listed for this composition**: 0.093 eV/atom

abc: 3.739 6.247 6.535
angles: 90.00 90.00 90.00
Space group Imm2 (No. 44)
One atom of each set of equivalent atoms:
Ta (0.000, 0.000, 0.000) x2
Ta (0.000, 0.500, 0.130) x2
Be (0.000, 0.312, 0.722) x4
Cu (0.000, 0.193, 0.398) x4

Entry 18:
VASP calculation (PBE) on a geometry-optimized Sm2Y6Tm3 structure.

Calculated values
**Energy relative to the elements**: 0.279 eV/f.u.
**DOS(E_F)**: 1.501 states/eV/atom
**Uncorrected energy**: -5.578 eV/atom
**Energy relative to the lowest polymorph listed for this composition**: 0.000 eV/atom

abc: 3.5626 3.5626 95.6371
angles: 90.00 90.00 120.00
Space group R-3m (No. 166, hexagonal axes)
One atom of each set of equivalent atoms:
Sm (0.0000, 0.0000, 0.0460) x6
Y (0.0000, 0.0000, 0.1367) x6
Y (0.0000, 0.0000, 0.3181) x6
Y (0.0000, 0.0000, 0.4102) x6
Tm (0.0000, 0.0000, 0.2266) x6
Tm (0.0000, 0.0000, 0.5000) x3

Entry 19:
VASP calculation (PBE) on a geometry-optimized PmPr4Tm3S8 structure.

Calculated values
**DOS(E_F)**: 0.382 states/eV/atom
**Uncorrected energy**: -6.386 eV/atom
**Formation energy from raw total energies**: -1.99 eV/atom

abc: 7.9098 7.9098 20.0746
angles: 90.00 90.00 120.00
Space group R-3m (No. 166, hexagonal axes)
One atom of each set of equivalent atoms:
Pm (0.0000, 0.0000, 0.0000) x3
Pr (0.0000, 0.0000, 0.5000) x3
Pr (0.0000, 0.5000, 0.5000) x9
Tm (0.0000, 0.5000, 0.0000) x9
S (0.0000, 0.0000, 0.2586) x6
S (0.0088, 0.5044, 0.2568) x18

Entry 20:
VASP calculation (PBE) on a geometry-optimized GaHPd3 structure.

Calculated values
**DOS(E_F)**: 0.321 states/eV/atom
**Uncorrected energy**: -3.920 eV/atom
**Energy relative to the lowest polymorph listed for this composition**: 0.919 eV/atom

abc: 4.809 4.809 17.470
angles: 90.00 90.00 90.00
Space group I-4m2 (No. 119)
One atom of each set of equivalent atoms:
Ga (0.000, 0.000, 0.000) x2
Ga (0.000, 0.500, 0.250) x2
H (0.000, 0.500, 0.639) x4
Pd (0.000, 0.000, 0.351) x4
Pd (0.000, 0.245, 0.127) x8

Entry 21:
VASP calculation (PBE) on a geometry-optimized CsAlZn3 structure.

Calculated values
**Energy relative to the elements**: 1.139 eV/f.u.
**DOS(E_F)**: 0.451 states/eV/atom
**Uncorrected energy**: -1.456 eV/atom
**Energy relative to the lowest polymorph listed for this composition**: 0.000 eV/atom

abc: 5.224 5.224 5.224
angles: 90.00 90.00 90.00
Space group Pm-3m (No. 221)
One atom of each set of equivalent atoms:
Cs (0.000, 0.000, 0.000) x1
Al (0.500, 0.500, 0.500) x1
Zn (0.000, 0.500, 0.500) x3

Entry 22:
VASP calculation (PBE) on a geometry-optimized SrPuAg2Se4 structure.

Calculated values
**DOS(E_F)**: 1.826 states/eV/atom
**Uncorrected energy**: -5.324 eV/atom
**Formation energy from raw total energies**: -0.87 eV/atom

abc: 7.166 7.400 7.993
angles: 90.00 90.00 90.00
Space group I222 (No. 23)
One atom of each set of equivalent atoms:
Sr (0.000, 0.000, 0.000) x2
Pu (0.000, 0.000, 0.500) x2
Ag (0.000, 0.500, 0.189) x4
Se (0.227, 0.228, 0.292) x8

Entry 23:
VASP calculation (PBE) on a geometry-optimized Er2Cd8Ag structure.

Calculated values
**Energy relative to the elements**: -1.635 eV/f.u.
**DOS(E_F)**: 0.490 states/eV/atom
**Uncorrected energy**: -1.903 eV/atom

abc: 16.652 4.705 6.650
angles: 90.00 103.85 90.00
Space group C2/m (No. 12)
One atom of each set of equivalent atoms:
Er (0.219, 0.000, 0.168) x4
Cd (0.027, 0.000, 0.231) x4
Cd (0.097, 0.500, 0.924) x4
Cd (0.149, 0.000, 0.664) x4
Cd (0.152, 0.500, 0.383) x4
Ag (0.000, 0.500, 0.500) x2

Entry 24:
VASP calculation (PBE) on a geometry-optimized LiNiBr structure.

Calculated values
**DOS(E_F)**: 0.119 states/eV/atom
**Uncorrected energy**: -3.314 eV/atom
**Energy relative to the lowest polymorph listed for this composition**: 0.261 eV/atom
**Formation energy from raw total energies**: -0.19 eV/atom

abc: 4.0284 4.0284 3.6071
angles: 90.00 90.00 120.00
Space group P-6m2 (No. 187)
One atom of each set of equivalent atoms:
Li (0.0000, 0.0000, 0.0000) x1
Ni (0.6667, 0.3333, 0.5000) x1
Br (0.3333, 0.6667, 0.5000) x1

Entry 25:
VASP calculation (PBE) on a geometry-optimized TbDyTmCd structure.

Calculated values
**Energy relative to the elements**: -0.558 eV/f.u.
**DOS(E_F)**: 1.267 states/eV/atom
**Uncorrected energy**: -3.794 eV/atom
**Energy relative to the lowest polymorph listed for this composition**: 0.000 eV/atom

abc: 3.568 3.568 9.038
angles: 90.00 90.00 90.00
Space group P4mm (No. 99)
One atom of each set of equivalent atoms:
Tb (0.000, 0.000, 0.000) x1
Dy (0.000, 0.000, 0.539) x1
Tm (0.500, 0.500, 0.270) x1
Cd (0.500, 0.500, 0.768) x1